A plane-wave DFT calculation with SCAN was carried out for a crystal of BeSbAsSe2 relaxed with PBEsol.

Summary:
**ΔE_f (raw)**: 0.32 eV per atom
**E above lowest polymorph**: 0.0 kJ/mol of atoms
**Calculated density**: 6.31 g cm⁻³
**Magnetization**: 0.0 μB/f.u.

Unit cell a=4.637 b=4.637 c=4.452 alpha=90.00 beta=90.00 gamma=90.00
Space group P4/mmm (No. 123)
Unique sites:
Be  0.000  0.000  0.000
Sb  0.500  0.500  0.500
As  0.000  0.000  0.500
Se  0.000  0.500  0.000